# HfZn2Sn, optimized geometry, DFT PBE-GGA
data_HfZn2Sn
_chemical_formula_sum 'Hf1 Zn2 Sn1'
_symmetry_space_group_name_H-M 'P 1'
_symmetry_Int_Tables_number 1
_cell_length_a 4.805
_cell_length_b 4.805
_cell_length_c 4.805
_cell_angle_alpha 60.00
_cell_angle_beta 60.00
_cell_angle_gamma 60.00
loop_
_symmetry_equiv_pos_as_xyz
'x,y,z'
loop_
_atom_site_label
_atom_site_type_symbol
_atom_site_fract_x
_atom_site_fract_y
_atom_site_fract_z
Hf1 Hf 0.000 0.000 0.000
Zn1 Zn 0.250 0.250 0.250
Zn2 Zn 0.500 0.500 0.500
Sn1 Sn 0.750 0.750 0.750
# Crystal system: cubic
# SG: F-43m (216)
# Theoretical density, Mg/m³: 9.06
# Calculated total energy, eV for the cell shown: -15.78